<1>
Material: Be3PdC
Method: DFT, PBE
State: relaxed

Values from the calculation:
* volume: 46.9 Å³ per cell
* space-group type: Pm-3m
* spin magnetization: 0.0000 μB per atom

Cell lengths 3.606, 3.606, 3.606 Å; angles 90.00, 90.00, 90.00 degrees
Sites, in units of the cell vectors:
Be: 0.000 0.500 0.000
Be: 0.000 0.000 0.500
Be: 0.500 0.000 0.000
C: 0.000 0.000 0.000
Pd: 0.500 0.500 0.500



<2>
Material: Be3PdC
Method: DFT, PBE
State: relaxed

Values from the calculation:
* volume: 71.6 Å³ per cell
* space-group type: Pm-3m
* spin magnetization: 0.0350 μB per atom

Cell lengths 4.153, 4.153, 4.153 Å; angles 90.00, 90.00, 90.00 degrees
Site moments in Bohr magnetons follow the coordinates.
Sites, in units of the cell vectors:
Be: 0.000 0.500 0.000  -0.02
Be: 0.000 0.000 0.500  -0.02
Be: 0.500 0.000 0.000  -0.01
C: 0.500 0.500 0.500  0.14
Pd: 0.000 0.000 0.000  0.00



Winner for stability: <1>



<1>
Material: Pm2BeC
Method: DFT, PBE
State: relaxed

Values from the calculation:
* volume: 100.4 Å³ per cell
* space-group type: R-3m
* spin magnetization: 0.0000 μB per atom

Cell lengths 3.602, 3.602, 9.172 Å; angles 78.68, 78.68, 60.00 degrees
Sites, in units of the cell vectors:
Be: 0.000 0.000 0.000
C: 0.500 0.500 0.500
Pm: 0.115 0.115 0.656
Pm: 0.885 0.885 0.344



<2>
Material: Pm2BeC
Method: DFT, PBE
State: relaxed

Values from the calculation:
* volume: 171.2 Å³ per cell
* space-group type: Immm
* spin magnetization: 0.0000 μB per atom

Cell lengths 3.449, 7.304, 7.247 Å; angles 104.63, 103.77, 90.00 degrees
Sites, in units of the cell vectors:
Pm: 0.128 0.564 0.257
Pm: 0.872 0.436 0.743
Pm: 0.128 0.064 0.257
Pm: 0.872 0.936 0.743
Be: 0.500 0.250 0.000
Be: 0.500 0.750 0.000
C: 0.000 0.750 0.000
C: 0.000 0.250 0.000



Winner for stability: <2>



<1>
Material: PrBeC
Method: DFT, PBE
State: relaxed

Values from the calculation:
* volume: 186.5 Å³ per cell
* space-group type: Pnma
* spin magnetization: 0.0000 μB per atom

Cell lengths 5.281, 5.584, 6.324 Å; angles 90.00, 90.00, 90.00 degrees
Sites, in units of the cell vectors:
Pr: 0.750 0.637 0.322
Pr: 0.250 0.137 0.178
Pr: 0.750 0.863 0.822
Pr: 0.250 0.363 0.678
Be: 0.250 0.833 0.557
Be: 0.250 0.667 0.057
Be: 0.750 0.167 0.443
Be: 0.750 0.333 0.943
C: 0.250 0.838 0.828
C: 0.750 0.338 0.672
C: 0.750 0.162 0.172
C: 0.250 0.662 0.328



<2>
Material: PrBeC
Method: DFT, PBE
State: relaxed

Values from the calculation:
* volume: 189.0 Å³ per cell
* space-group type: Pnma
* spin magnetization: 0.0000 μB per atom

Cell lengths 3.360, 5.387, 10.443 Å; angles 90.00, 90.00, 90.00 degrees
Sites, in units of the cell vectors:
Pr: 0.750 0.896 0.643
Pr: 0.750 0.396 0.857
Pr: 0.250 0.604 0.143
Pr: 0.250 0.104 0.357
Be: 0.750 0.581 0.436
Be: 0.750 0.081 0.064
Be: 0.250 0.919 0.936
Be: 0.250 0.419 0.564
C: 0.250 0.716 0.477
C: 0.750 0.284 0.523
C: 0.750 0.784 0.977
C: 0.250 0.216 0.023



Winner for stability: <1>



<1>
Material: BePtC3
Method: DFT, PBE
State: relaxed

Values from the calculation:
* volume: 64.2 Å³ per cell
* space-group type: Pm-3m
* spin magnetization: 0.0000 μB per atom

Cell lengths 4.004, 4.004, 4.004 Å; angles 90.00, 90.00, 90.00 degrees
Sites, in units of the cell vectors:
Be: 0.500 0.500 0.500
C: 0.000 0.500 0.000
C: 0.000 0.000 0.500
C: 0.500 0.000 0.000
Pt: 0.000 0.000 0.000



<2>
Material: BePtC3
Method: DFT, PBE
State: relaxed

Values from the calculation:
* volume: 47.1 Å³ per cell
* space-group type: Pm-3m
* spin magnetization: 0.0000 μB per atom

Cell lengths 3.612, 3.612, 3.612 Å; angles 90.00, 90.00, 90.00 degrees
Sites, in units of the cell vectors:
Be: 0.000 0.000 0.000
C: 0.000 0.500 0.000
C: 0.000 0.000 0.500
C: 0.500 0.000 0.000
Pt: 0.500 0.500 0.500



Winner for stability: <2>



<1>
Material: BeRe2C
Method: DFT, PBE
State: relaxed

Values from the calculation:
* volume: 110.9 Å³ per cell
* space-group type: I-42d
* spin magnetization: 0.0000 μB per atom

Cell lengths 4.526, 4.526, 6.290 Å; angles 68.91, 68.91, 90.00 degrees
Sites, in units of the cell vectors:
Re: 0.675 0.125 0.250
Re: 0.075 0.625 0.250
Re: 0.375 0.325 0.750
Re: 0.875 0.925 0.750
C: 0.000 0.000 0.000
C: 0.750 0.250 0.500
Be: 0.500 0.500 0.000
Be: 0.250 0.750 0.500



<2>
Material: BeRe2C
Method: DFT, PBE
State: relaxed

Values from the calculation:
* volume: 42.6 Å³ per cell
* space-group type: Fm-3m
* spin magnetization: 0.0000 μB per atom

Cell lengths 3.921, 3.921, 3.921 Å; angles 60.00, 60.00, 60.00 degrees
Sites, in units of the cell vectors:
Re: 0.250 0.250 0.250
Re: 0.750 0.750 0.750
C: 0.500 0.500 0.500
Be: 0.000 0.000 0.000



Winner for stability: <2>



<1>
Material: BeC3S
Method: DFT, PBE
State: relaxed

Values from the calculation:
* volume: 44.4 Å³ per cell
* space-group type: Pm-3m
* spin magnetization: 0.0000 μB per atom

Cell lengths 3.540, 3.540, 3.540 Å; angles 90.00, 90.00, 90.00 degrees
Sites, in units of the cell vectors:
Be: 0.500 0.500 0.500
S: 0.000 0.000 0.000
C: 0.000 0.500 0.000
C: 0.000 0.000 0.500
C: 0.500 0.000 0.000



<2>
Material: BeC3S
Method: DFT, PBE
State: relaxed

Values from the calculation:
* volume: 48.7 Å³ per cell
* space-group type: Pm-3m
* spin magnetization: 0.0000 μB per atom

Cell lengths 3.653, 3.653, 3.653 Å; angles 90.00, 90.00, 90.00 degrees
Sites, in units of the cell vectors:
Be: 0.000 0.000 0.000
S: 0.500 0.500 0.500
C: 0.000 0.500 0.000
C: 0.000 0.000 0.500
C: 0.500 0.000 0.000



Winner for stability: <1>



<1>
Material: Be2SbC
Method: DFT, PBE
State: relaxed

Values from the calculation:
* volume: 117.1 Å³ per cell
* space-group type: I4_1/amd
* spin magnetization: 0.0000 μB per atom

Cell lengths 5.501, 5.501, 5.487 Å; angles 59.91, 59.91, 90.00 degrees
Sites, in units of the cell vectors:
Sb: 0.000 0.000 0.000
Sb: 0.750 0.250 0.500
C: 0.500 0.500 0.000
C: 0.250 0.750 0.500
Be: 0.376 0.125 0.250
Be: 0.374 0.625 0.250
Be: 0.375 0.624 0.750
Be: 0.875 0.626 0.750



<2>
Material: Be2SbC
Method: DFT, PBE
State: relaxed

Values from the calculation:
* volume: 52.2 Å³ per cell
* space-group type: Fm-3m
* spin magnetization: 0.0000 μB per atom

Cell lengths 4.195, 4.195, 4.195 Å; angles 60.00, 60.00, 60.00 degrees
Sites, in units of the cell vectors:
Sb: 0.500 0.500 0.500
C: 0.000 0.000 0.000
Be: 0.250 0.250 0.250
Be: 0.750 0.750 0.750



Winner for stability: <1>



<1>
Material: Sc2BeSiC
Method: DFT, PBE
State: relaxed

Values from the calculation:
* volume: 72.4 Å³ per cell
* space-group type: P4/mmm
* spin magnetization: 0.0000 μB per atom

Cell lengths 4.583, 4.583, 3.445 Å; angles 90.00, 90.00, 90.00 degrees
Sites, in units of the cell vectors:
Sc: 0.000 0.500 0.000
Sc: 0.500 0.000 0.000
Be: 0.000 0.000 0.500
Si: 0.500 0.500 0.500
C: 0.000 0.000 0.000



<2>
Material: Sc2BeSiC
Method: DFT, PBE
State: relaxed

Values from the calculation:
* volume: 148.9 Å³ per cell
* space-group type: P2_1/m
* spin magnetization: 0.0000 μB per atom

Cell lengths 3.447, 6.068, 7.475 Å; angles 107.79, 90.00, 90.00 degrees
Sites, in units of the cell vectors:
Sc: 0.750 0.808 0.619
Sc: 0.750 0.791 0.030
Sc: 0.250 0.192 0.381
Sc: 0.250 0.209 0.970
Be: 0.250 0.543 0.751
Be: 0.750 0.457 0.249
Si: 0.250 0.695 0.302
Si: 0.750 0.305 0.698
C: 0.250 0.831 0.827
C: 0.750 0.169 0.173



Winner for stability: <2>



<1>
Material: BeC2Se
Method: DFT, PBE
State: relaxed

Values from the calculation:
* volume: 83.8 Å³ per cell
* space-group type: I-42d
* spin magnetization: 0.0000 μB per atom

Cell lengths 4.390, 4.390, 5.344 Å; angles 65.75, 65.75, 90.00 degrees
Sites, in units of the cell vectors:
Be: 0.500 0.500 0.000
Be: 0.250 0.750 0.500
C: 0.609 0.125 0.250
C: 0.141 0.625 0.250
C: 0.375 0.391 0.750
C: 0.875 0.859 0.750
Se: 0.000 0.000 0.000
Se: 0.750 0.250 0.500



<2>
Material: BeC2Se
Method: DFT, PBE
State: relaxed

Values from the calculation:
* volume: 40.0 Å³ per cell
* space-group type: Fm-3m
* spin magnetization: 0.0000 μB per atom

Cell lengths 3.839, 3.839, 3.839 Å; angles 60.00, 60.00, 60.00 degrees
Sites, in units of the cell vectors:
Be: 0.000 0.000 0.000
C: 0.250 0.250 0.250
C: 0.750 0.750 0.750
Se: 0.500 0.500 0.500



Winner for stability: <1>



<1>
Material: Y2BeSiC
Method: DFT, PBE
State: relaxed

Values from the calculation:
* volume: 178.1 Å³ per cell
* space-group type: P2_1/m
* spin magnetization: 0.0000 μB per atom

Cell lengths 3.735, 6.325, 7.920 Å; angles 107.80, 90.00, 90.00 degrees
Sites, in units of the cell vectors:
Y: 0.750 0.799 0.610
Y: 0.750 0.783 0.035
Y: 0.250 0.201 0.390
Y: 0.250 0.217 0.965
Be: 0.250 0.544 0.753
Be: 0.750 0.456 0.247
Si: 0.250 0.669 0.298
Si: 0.750 0.331 0.702
C: 0.250 0.824 0.825
C: 0.750 0.176 0.175



<2>
Material: Y2BeSiC
Method: DFT, PBE
State: relaxed

Values from the calculation:
* volume: 87.1 Å³ per cell
* space-group type: P4/mmm
* spin magnetization: 0.0000 μB per atom

Cell lengths 5.004, 5.004, 3.477 Å; angles 90.00, 90.00, 90.00 degrees
Sites, in units of the cell vectors:
Y: 0.000 0.500 0.000
Y: 0.500 0.000 0.000
Be: 0.000 0.000 0.500
Si: 0.500 0.500 0.500
C: 0.000 0.000 0.000



Winner for stability: <1>



<1>
Material: Be3SnC
Method: DFT, PBE
State: relaxed

Values from the calculation:
* volume: 55.5 Å³ per cell
* space-group type: Pm-3m
* spin magnetization: 0.0000 μB per atom

Cell lengths 3.815, 3.815, 3.815 Å; angles 90.00, 90.00, 90.00 degrees
Sites, in units of the cell vectors:
Be: 0.000 0.500 0.000
Be: 0.000 0.000 0.500
Be: 0.500 0.000 0.000
C: 0.000 0.000 0.000
Sn: 0.500 0.500 0.500



<2>
Material: Be3SnC
Method: DFT, PBE
State: relaxed

Values from the calculation:
* volume: 93.6 Å³ per cell
* space-group type: Pm-3m
* spin magnetization: 0.4000 μB per atom

Cell lengths 4.541, 4.541, 4.541 Å; angles 90.00, 90.00, 90.00 degrees
Site moments in Bohr magnetons follow the coordinates.
Sites, in units of the cell vectors:
Be: 0.000 0.500 0.000  0.01
Be: 0.000 0.000 0.500  0.01
Be: 0.500 0.000 0.000  0.01
C: 0.500 0.500 0.500  0.83
Sn: 0.000 0.000 0.000  0.12



Winner for stability: <1>



<1>
Material: SrBeC3
Method: DFT, PBE
State: relaxed

Values from the calculation:
* volume: 57.5 Å³ per cell
* space-group type: Pm-3m
* spin magnetization: 0.0000 μB per atom

Cell lengths 3.859, 3.859, 3.859 Å; angles 90.00, 90.00, 90.00 degrees
Sites, in units of the cell vectors:
Sr: 0.500 0.500 0.500
C: 0.000 0.500 0.000
C: 0.000 0.000 0.500
C: 0.500 0.000 0.000
Be: 0.000 0.000 0.000



<2>
Material: SrBeC3
Method: DFT, PBE
State: relaxed

Values from the calculation:
* volume: 97.1 Å³ per cell
* space-group type: Pm-3m
* spin magnetization: 0.2166 μB per atom

Cell lengths 4.596, 4.596, 4.596 Å; angles 90.00, 90.00, 90.00 degrees
Site moments in Bohr magnetons follow the coordinates.
Sites, in units of the cell vectors:
Sr: 0.000 0.000 0.000  0.04
C: 0.000 0.500 0.000  0.22
C: 0.000 0.000 0.500  0.19
C: 0.500 0.000 0.000  0.15
Be: 0.500 0.500 0.500  -0.04



Winner for stability: <1>



<1>
Material: TbBeC
Method: DFT, PBE
State: relaxed

Values from the calculation:
* volume: 171.2 Å³ per cell
* space-group type: Pnma
* spin magnetization: 0.0000 μB per atom

Cell lengths 3.287, 5.299, 9.833 Å; angles 90.00, 90.00, 90.00 degrees
Sites, in units of the cell vectors:
Tb: 0.750 0.893 0.641
Tb: 0.750 0.393 0.859
Tb: 0.250 0.607 0.141
Tb: 0.250 0.107 0.359
Be: 0.750 0.580 0.430
Be: 0.750 0.080 0.070
Be: 0.250 0.920 0.930
Be: 0.250 0.420 0.570
C: 0.250 0.724 0.480
C: 0.750 0.276 0.520
C: 0.750 0.776 0.980
C: 0.250 0.224 0.020



<2>
Material: TbBeC
Method: DFT, PBE
State: relaxed

Values from the calculation:
* volume: 37.6 Å³ per cell
* space-group type: P-6m2
* spin magnetization: 0.0001 μB per atom

Cell lengths 3.826, 3.370, 3.370 Å; angles 120.00, 90.00, 90.00 degrees
Sites, in units of the cell vectors:
Be: 0.167 0.000 0.000
C: 0.167 0.333 0.667
Tb: 0.667 0.667 0.333



Winner for stability: <2>